Here is TlAs2P after structural relaxation from Alexandria. Energies are from GGA-PBE.

Results
ΔE_f, meV per atom: 312
SG: Immm, No. 71
Final energy, eV per atom: -3.957

```
TlAs2P
1.0
-4.274 -3.996 0.536
1.481 -5.050 -2.613
1.095 3.872 4.282
As P Tl
2 1 1
direct
0.937 0.937 0.000
0.563 0.563 0.000
0.750 0.250 0.500
0.250 0.750 0.500
```

Here is TlAsP2 after structural relaxation from Alexandria. Energies are from GGA-PBE.

Results
ΔE_f, meV per atom: 405
SG: Pmm2, No. 25
Final energy, eV per atom: -4.054

```
TlAsP2
1.0
-2.761 2.342 0.846
-0.923 0.155 -3.438
-4.265 -5.354 0.904
P Tl As
2 1 1
direct
0.000 0.000 0.974
0.500 0.500 0.210
0.000 0.000 0.441
0.500 0.500 0.876
```

Here is TlAs2P after structural relaxation from Alexandria. Energies are from GGA-PBE.

Results
ΔE_f, meV per atom: 419
SG: Cmmm, No. 65
Final energy, eV per atom: -3.850

```
TlAs2P
1.0
3.193 -0.007 0.000
-1.368 2.885 0.000
0.000 0.000 9.426
As P Tl
2 1 1
direct
0.000 0.000 0.446
0.000 0.000 0.054
0.500 0.500 0.250
0.500 0.500 0.750
```

Here is TlAsP2 after structural relaxation from Alexandria. Energies are from GGA-PBE.

Results
ΔE_f, meV per atom: 274
SG: Pm, No. 6
Final energy, eV per atom: -4.185

```
TlAsP2
1.0
-2.684 0.078 3.386
2.977 -0.176 2.364
0.875 5.745 0.561
P Tl As
2 1 1
direct
0.500 0.249 0.096
0.000 0.001 0.063
0.000 0.457 0.503
0.500 0.793 0.839
```

Here is TlAsP2 after structural relaxation from Alexandria. Energies are from GGA-PBE.

Results
ΔE_f, meV per atom: 228
SG: P2/m, No. 10
Final energy, eV per atom: -4.231

```
TlAsP2
1.0
5.111 0.000 0.000
0.000 3.201 -0.038
0.000 0.118 6.021
P Tl As
2 1 1
direct
0.000 0.504 0.626
0.000 0.996 0.874
0.500 0.250 0.250
0.500 0.750 0.750
```

Here is TlAsP2 after structural relaxation from Alexandria. Energies are from GGA-PBE.

Results
ΔE_f, meV per atom: 187
SG: P4mm, No. 99
Final energy, eV per atom: -4.272

```
TlAsP2
1.0
3.175 0.000 0.000
0.000 3.175 0.000
0.000 0.000 8.882
As P Tl
1 2 1
direct
0.500 0.500 0.798
0.500 0.500 0.064
0.000 0.000 0.141
0.000 0.000 0.497
```

Here is TlAsP2 after structural relaxation from Alexandria. Energies are from GGA-PBE.

Results
ΔE_f, meV per atom: 591
SG: Cmmm, No. 65
Final energy, eV per atom: -3.868

```
TlAsP2
1.0
-0.862 1.254 2.701
0.004 -3.074 0.402
8.595 0.349 2.581
As P Tl
1 2 1
direct
0.500 0.500 0.750
0.000 0.000 0.952
0.000 0.000 0.548
0.500 0.500 0.250
```

Here is TlAsP2 after structural relaxation from Alexandria. Energies are from GGA-PBE.

Results
ΔE_f, meV per atom: 677
SG: I-4m2, No. 119
Final energy, eV per atom: -3.782

```
TlAsP2
1.0
-5.360 -1.644 -2.710
-5.268 -1.912 2.714
4.453 4.350 0.140
P As Tl
2 1 1
direct
0.000 0.000 0.000
0.250 0.750 0.500
0.750 0.250 0.500
0.500 0.500 0.000
```

Here is Tl2AsP after structural relaxation from Alexandria. Energies are from GGA-PBE.

Results
ΔE_f, meV per atom: 118
SG: C2/m, No. 12
Final energy, eV per atom: -3.580

```
Tl2AsP
1.0
8.800 0.357 -0.324
7.909 3.875 -0.324
0.893 0.226 3.554
P As Tl
1 1 2
direct
0.250 0.250 0.250
0.750 0.750 0.750
0.906 0.906 0.093
0.594 0.594 0.407
```

Here is TlAs2P after structural relaxation from Alexandria. Energies are from GGA-PBE.

Results
ΔE_f, meV per atom: 202
SG: Cm, No. 8
Final energy, eV per atom: -4.067

```
TlAs2P
1.0
5.470 0.028 0.027
4.414 3.230 0.027
2.043 0.673 5.580
As Tl P
2 1 1
direct
0.034 0.034 0.865
0.764 0.764 0.739
0.237 0.237 0.262
0.465 0.465 0.634
```

Here is TlAs2P after structural relaxation from Alexandria. Energies are from GGA-PBE.

Results
ΔE_f, meV per atom: 555
SG: I4/mmm, No. 139
Final energy, eV per atom: -3.714

```
TlAs2P
1.0
-3.340 5.050 -1.475
-5.122 2.067 2.885
5.812 -2.016 0.996
As Tl P
2 1 1
direct
0.500 0.500 0.000
0.000 0.000 0.000
0.750 0.250 0.500
0.250 0.750 0.500
```

Here is Tl2AsP after structural relaxation from Alexandria. Energies are from GGA-PBE.

Results
ΔE_f, meV per atom: 142
SG: P4mm, No. 99
Final energy, eV per atom: -3.556

```
Tl2AsP
1.0
-3.157 0.948 1.378
-1.658 -2.162 -2.312
0.493 -6.001 5.259
Tl As P
2 1 1
direct
0.000 0.000 0.962
0.500 0.500 0.291
0.000 0.000 0.587
0.500 0.500 0.660
```

Here is TlAs2P after structural relaxation from Alexandria. Energies are from GGA-PBE.

Results
ΔE_f, meV per atom: 300
SG: Pmm2, No. 25
Final energy, eV per atom: -3.969

```
TlAs2P
1.0
-1.544 0.000 -3.140
3.646 -0.381 -1.793
-0.579 -6.874 0.284
Tl As P
1 2 1
direct
0.500 0.500 0.689
0.500 0.500 0.235
0.000 0.000 0.123
0.000 0.000 0.453
```

Here is TlAsP2 after structural relaxation from Alexandria. Energies are from GGA-PBE.

Results
ΔE_f, meV per atom: 376
SG: I-42d, No. 122
Final energy, eV per atom: -4.083

```
TlAsP2
1.0
-0.285 0.871 5.588
-4.831 -2.947 0.213
0.864 -6.572 3.937
P As Tl
4 2 2
direct
0.875 0.837 0.750
0.163 0.625 0.250
0.587 0.125 0.250
0.375 0.413 0.750
0.500 0.500 0.000
0.250 0.750 0.500
0.750 0.250 0.500
0.000 0.000 0.000
```

Here is TlAs2P after structural relaxation from Alexandria. Energies are from GGA-PBE.

Results
ΔE_f, meV per atom: 235
SG: R3m, No. 160
Final energy, eV per atom: -4.033

```
TlAs2P
1.0
9.089 -0.036 -0.022
8.421 3.418 -0.022
8.421 1.626 3.006
As P Tl
2 1 1
direct
0.243 0.243 0.243
0.986 0.986 0.986
0.527 0.527 0.527
0.745 0.745 0.745
```

Here is TlAs2P after structural relaxation from Alexandria. Energies are from GGA-PBE.

Results
ΔE_f, meV per atom: 411
SG: Imm2, No. 44
Final energy, eV per atom: -3.858

```
TlAs2P
1.0
-1.078 3.027 4.879
0.350 -3.499 4.666
2.828 2.474 -4.474
As Tl P
2 1 1
direct
0.952 0.952 0.000
0.732 0.232 0.500
0.259 0.759 0.500
0.556 0.556 0.000
```

Here is TlAsP2 after structural relaxation from Alexandria. Energies are from GGA-PBE.

Results
ΔE_f, meV per atom: 684
SG: Pmmm, No. 47
Final energy, eV per atom: -3.775

```
TlAsP2
1.0
3.857 0.000 0.000
0.000 5.722 0.000
0.000 0.000 3.775
P Tl As
2 1 1
direct
0.500 0.500 0.000
0.000 0.000 0.000
0.500 0.000 0.500
0.000 0.500 0.500
```

Here is TlAsP2 after structural relaxation from Alexandria. Energies are from GGA-PBE.

Results
ΔE_f, meV per atom: 470
SG: Cmm2, No. 35
Final energy, eV per atom: -3.989

```
TlAsP2
1.0
-2.092 2.433 -0.728
-0.406 -3.032 -1.213
-5.265 -2.289 7.483
P Tl As
2 1 1
direct
0.500 0.500 0.180
0.000 0.000 0.021
0.000 0.000 0.500
0.500 0.500 0.798
```

Here is Tl2AsP after structural relaxation from Alexandria. Energies are from GGA-PBE.

Results
ΔE_f, meV per atom: 166
SG: I-42d, No. 122
Final energy, eV per atom: -3.532

```
Tl2AsP
1.0
-3.820 -4.913 -0.184
4.706 -3.586 -1.937
1.865 -5.576 4.847
As Tl P
2 4 2
direct
0.750 0.250 0.500
0.000 0.000 0.000
0.137 0.625 0.250
0.875 0.863 0.750
0.375 0.387 0.750
0.613 0.125 0.250
0.250 0.750 0.500
0.500 0.500 0.000
```

Here is TlAs2P after structural relaxation from Alexandria. Energies are from GGA-PBE.

Results
ΔE_f, meV per atom: 438
SG: Cmm2, No. 35
Final energy, eV per atom: -3.831

```
TlAs2P
1.0
3.110 -0.022 0.000
-0.874 2.984 0.000
0.000 0.000 9.450
As P Tl
2 1 1
direct
0.000 0.000 0.022
0.500 0.500 0.278
0.000 0.000 0.450
0.500 0.500 0.750
```